--- A ---
First-principles (PBE) data for LuTeAuO after structural relaxation, as listed in OQMD.

Cell: 5.5738 5.5738 10.1163 Å, 90.00 90.00 90.00°
With the nearest neighbours (Å) after each atom.
Fractional coordinates of all 16 atoms:
Au 0.7122 0.2122 0.4975  3 Te 2.82-2.96, 4 Au 2.82
Au 0.2122 0.2878 0.4975  3 Te 2.82-2.96, 4 Au 2.82
Au 0.7878 0.7122 0.4975  3 Te 2.82-2.96, 4 Au 2.82
Au 0.2878 0.7878 0.4975  3 Te 2.82-2.96, 4 Au 2.82
Lu 0.5000 0.0000 0.1017  4 O 2.21-2.23
Lu 0.0000 0.5000 0.1017  4 O 2.21-2.23
Lu 0.0000 0.0000 0.8990  4 O 2.22
Lu 0.5000 0.5000 0.8990  4 O 2.22
O 0.7490 0.2490 0.0007  4 Lu 2.21-2.23
O 0.2490 0.2510 0.0007  4 Lu 2.21-2.23
O 0.7510 0.7490 0.0007  4 Lu 2.21-2.23
O 0.2510 0.7510 0.0007  4 Lu 2.21-2.23
Te 0.0000 0.0000 0.2814  4 Au 2.96
Te 0.5000 0.5000 0.2814  4 Au 2.96
Te 0.5000 0.0000 0.7214  2 Au 2.82
Te 0.0000 0.5000 0.7214  2 Au 2.82

## Properties
**Space-group type**: P4bm, No. 100



--- B ---
First-principles (PBE) data for LuTeAuO after structural relaxation, as listed in OQMD.

Cell: 5.5883 5.5888 10.0657 Å, 90.00 90.00 90.00°
With the nearest neighbours (Å) after each atom.
Fractional coordinates of all 16 atoms:
Au 0.0000 0.2494 0.5000  4 Au 2.79-2.80, 4 Te 2.95-2.97
Au 0.5000 0.2494 0.5000  4 Au 2.79-2.80, 4 Te 2.95-2.97
Au 0.0000 0.7506 0.5000  4 Au 2.79-2.80, 4 Te 2.95-2.97
Au 0.5000 0.7506 0.5000  4 Au 2.79-2.80, 4 Te 2.95-2.97
Lu 0.2500 0.0000 0.1015  4 O 2.23
Lu 0.7500 0.5000 0.1018  4 O 2.22
Lu 0.2500 0.5000 0.8982  4 O 2.22
Lu 0.7500 0.0000 0.8985  4 O 2.23
O 0.0000 0.2503 0.0000  4 Lu 2.22-2.23
O 0.5000 0.2503 0.0000  4 Lu 2.22-2.23
O 0.0000 0.7497 0.0000  4 Lu 2.22-2.23
O 0.5000 0.7497 0.0000  4 Lu 2.22-2.23
Te 0.7500 0.0000 0.2794  4 Au 2.97, 4 Lu 3.32
Te 0.2500 0.5000 0.2822  4 Au 2.95
Te 0.7500 0.5000 0.7178  4 Au 2.95
Te 0.2500 0.0000 0.7206  4 Au 2.97, 4 Lu 3.32

## Properties
**Space-group type**: Pmma, No. 51



Calculated relative energies: A 0.0; B 0.7, given in kJ/mol of atoms



--- A ---
First-principles (PBE) data for Cu2Ag3 after structural relaxation, as listed in OQMD.

Cell: 4.8636 4.8636 8.8552 Å, 90.02 90.02 48.05°
With the nearest neighbours (Å) after each atom.
Fractional coordinates of all 10 atoms:
Ag 0.5901 0.5901 0.2007  9 Cu 2.68-2.87, 3 Ag 2.74-2.78
Ag 0.2013 0.2013 0.3899  7 Cu 2.69-2.84, 5 Ag 2.78-2.88
Ag 0.8034 0.8034 0.5884  4 Cu 2.76-2.86, 8 Ag 2.80-3.01
Ag 0.0998 0.0998 0.6982  9 Ag 2.81-2.90, 3 Cu 2.85-2.94
Ag 0.4047 0.4047 0.8098  4 Cu 2.76-2.94, 8 Ag 2.81-2.93
Ag 0.7048 0.7048 0.9134  7 Ag 2.74-3.01, 5 Cu 2.75-2.85
Cu 0.9977 0.9977 0.0143  4 Cu 2.60-2.84, 7 Ag 2.70-2.85
Cu 0.3040 0.3040 0.1043  7 Ag 2.68-2.87, 5 Cu 2.70-2.84
Cu 0.8977 0.8977 0.2898  5 Cu 2.60-2.81, 7 Ag 2.73-2.84
Cu 0.4965 0.4965 0.4912  10 Ag 2.70-2.94, 2 Cu 2.81

## Properties
**Space-group type**: Cm, No. 8



--- B ---
First-principles (PBE) data for Cu2Ag3 after structural relaxation, as listed in OQMD.

Cell: 2.8678 2.8678 18.8530 Å, 90.00 90.00 90.00°
With the nearest neighbours (Å) after each atom.
Fractional coordinates of all 10 atoms:
Ag 0.0000 0.0000 0.0758  4 Cu 2.73, 8 Ag 2.87-2.95
Ag 0.5000 0.5000 0.1896  12 Ag 2.87-2.95
Ag 0.0000 0.0000 0.3033  12 Ag 2.87-2.95
Ag 0.5000 0.5000 0.4168  4 Cu 2.73, 8 Ag 2.87-2.95
Ag 0.5000 0.5000 0.6099  8 Cu 2.72-2.73, 4 Ag 2.87
Ag 0.5000 0.5000 0.8039  8 Cu 2.73-2.74, 4 Ag 2.87
Cu 0.0000 0.0000 0.5134  8 Ag 2.72-2.73, 4 Cu 2.87
Cu 0.0000 0.0000 0.7068  8 Ag 2.73, 4 Cu 2.87
Cu 0.0000 0.0000 0.9014  4 Cu 2.50, 4 Ag 2.74
Cu 0.5000 0.5000 0.9789  4 Cu 2.50, 4 Ag 2.73

## Properties
**Space-group type**: P4mm, No. 99



Calculated relative energies: A 2.4; B 0.0, given in kJ/mol of atoms



--- A ---
First-principles (PBE) data for AgPbSO after structural relaxation, as listed in OQMD.

Cell: 3.7654 6.0899 6.7989 Å, 90.00 73.92 90.00°
With the nearest neighbours (Å) after each atom.
Fractional coordinates of all 8 atoms:
Ag 0.4199 0.7500 0.1602  2 S 2.58, 4 O 2.64
Ag 0.5801 0.2500 0.8398  2 S 2.58, 4 O 2.64
O 0.0000 0.0000 0.0000  2 Pb 2.31
O 0.0000 0.5000 0.0000  2 Pb 2.31
Pb 0.8672 0.2500 0.2655  2 O 2.31
Pb 0.1328 0.7500 0.7345  2 O 2.31
S 0.7851 0.7500 0.4298  2 Ag 2.58, 2 Pb 2.74
S 0.2149 0.2500 0.5702  2 Ag 2.58, 2 Pb 2.74

## Properties
**Space-group type**: Cmcm, No. 63



--- B ---
First-principles (PBE) data for AgPbSO after structural relaxation, as listed in OQMD.

Cell: 5.9354 9.0804 5.9439 Å, 90.00 90.00 90.00°
With the nearest neighbours (Å) after each atom.
Fractional coordinates of all 16 atoms:
Ag 0.2497 0.0705 0.3783  2 O 2.15
Ag 0.7497 0.9295 0.3783  2 O 2.15
Ag 0.2503 0.0705 0.8783  2 O 2.15
Ag 0.7503 0.9295 0.8783  2 O 2.15
O 0.9880 0.0816 0.1282  2 Ag 2.15, 1 Pb 2.32
O 0.4880 0.9184 0.1282  2 Ag 2.15, 1 Pb 2.32
O 0.5120 0.0816 0.6282  2 Ag 2.15, 1 Pb 2.32
O 0.0120 0.9184 0.6282  2 Ag 2.15, 1 Pb 2.32
Pb 0.9558 0.3362 0.1237  1 O 2.32
Pb 0.4558 0.6638 0.1237  1 O 2.32
Pb 0.5442 0.3362 0.6237  1 O 2.32
Pb 0.0442 0.6638 0.6237  1 O 2.32
S 0.4776 0.3161 0.1199  5 Pb 2.84-3.16, 2 Ag 2.98-3.03
S 0.9776 0.6839 0.1199  5 Pb 2.84-3.16, 2 Ag 2.98-3.03
S 0.0224 0.3161 0.6199  5 Pb 2.84-3.16, 2 Ag 2.98-3.03
S 0.5224 0.6839 0.6199  5 Pb 2.84-3.16, 2 Ag 2.98-3.03

## Properties
**Space-group type**: Pca2_1, No. 29



Calculated relative energies: A 6.7; B 0.0, given in kJ/mol of atoms